No. 1
This record from the Alexandria database describes a geometry-optimized TcAg7 structure. The functional is PBE.

Output
Size of the total moment ... 2.75 μB/cell
Symmetry ... Fm-3m
DFT total energy ... -27.49 eV/cell
Fermi-level density of states ... 6.51 states/eV/cell
Calculated formation energy ... 0.35 eV/atom
Crystal system ... cubic

a = 5.8578 Å, b = 5.8578 Å, c = 5.8578 Å
α = 60.00°, β = 60.00°, γ = 60.00°
Atoms (fractional coordinates):
Tc: 0.0000 0.0000 0.0000
Ag: 0.0000 0.0000 0.5000
Ag: 0.0000 0.5000 0.0000
Ag: 0.0000 0.5000 0.5000
Ag: 0.5000 0.0000 0.0000
Ag: 0.5000 0.0000 0.5000
Ag: 0.5000 0.5000 0.0000
Ag: 0.5000 0.5000 0.5000

No. 2
This record from the Alexandria database describes a geometry-optimized Pr4Y10Th structure. The functional is PBE.

Output
Size of the total moment ... 0.00 μB/cell
Symmetry ... I4/mmm
DFT total energy ... -87.42 eV/cell
Fermi-level density of states ... 18.27 states/eV/cell
Calculated formation energy ... 0.25 eV/atom
Crystal system ... tetragonal

a = 9.0123 Å, b = 9.0123 Å, c = 9.0123 Å
α = 101.67°, β = 101.67°, γ = 126.55°
Atoms (fractional coordinates):
Pr: 0.2251 0.2251 0.4501
Pr: 0.2251 0.7749 0.0000
Pr: 0.7749 0.2251 0.0000
Pr: 0.7749 0.7749 0.5499
Y: 0.0878 0.2947 0.7931
Y: 0.2500 0.7500 0.5000
Y: 0.2947 0.0878 0.7931
Y: 0.2947 0.5016 0.2069
Y: 0.4984 0.7053 0.7931
Y: 0.5016 0.2947 0.2069
Y: 0.7053 0.4984 0.7931
Y: 0.7053 0.9122 0.2069
Y: 0.7500 0.2500 0.5000
Y: 0.9122 0.7053 0.2069
Th: 0.0000 0.0000 0.0000

No. 3
This record from the Alexandria database describes a geometry-optimized Ta2AlHg structure. The functional is PBE.

Output
Size of the total moment ... 0.00 μB/cell
Symmetry ... Fm-3m
DFT total energy ... -26.20 eV/cell
Fermi-level density of states ... 1.89 states/eV/cell
Energy above the lowest structure with this stoichiometry ... 326 meV per atom
Calculated formation energy ... 0.39 eV/atom
Crystal system ... cubic

a = 4.6716 Å, b = 4.6716 Å, c = 4.6716 Å
α = 60.00°, β = 60.00°, γ = 60.00°
Atoms (fractional coordinates):
Ta: 0.2500 0.2500 0.2500
Ta: 0.7500 0.7500 0.7500
Al: 0.0000 0.0000 0.0000
Hg: 0.5000 0.5000 0.5000

No. 4
This record from the Alexandria database describes a geometry-optimized HfBPI2 structure. The functional is PBE.

Output
Size of the total moment ... 2.67 μB/cell
Symmetry ... P4/mmm
DFT total energy ... -19.97 eV/cell
Fermi-level density of states ... 3.12 states/eV/cell
Energy relative to the elements, uncorrected ... 1.033 eV/atom
Crystal system ... tetragonal

a = 5.7295 Å, b = 5.7295 Å, c = 4.6427 Å
α = 90.00°, β = 90.00°, γ = 90.00°
Atoms (fractional coordinates):
Hf: 0.0000 0.0000 0.0000
B: 0.0000 0.0000 0.5000
P: 0.5000 0.5000 0.5000
I: 0.0000 0.5000 0.0000
I: 0.5000 0.0000 0.0000